## 1
LiLa2HPd: relaxed, GGA-PBE.

Crystal system: tetragonal

```
LiLa2HPd
1.0
5.2743 0.0000 0.0000
0.0000 5.2743 0.0000
0.0000 0.0000 3.8726
Pd La H Li
1 2 1 1
Direct
0.0000 0.0000 0.5000
0.0000 0.5000 0.0000
0.5000 0.0000 0.0000
0.0000 0.0000 0.0000
0.5000 0.5000 0.5000
```


## 2
LiLa2HPd: relaxed, GGA-PBE.

Crystal system: tetragonal

```
LiLa2HPd
1.0
-2.8746 -3.5243 2.4931
2.3512 -3.7901 -2.6468
2.6862 -0.2499 2.7440
H Li La Pd
1 1 2 1
Direct
0.0000 0.0000 0.0000
0.0000 0.0000 0.5000
0.5000 0.0000 0.0000
0.0000 0.5000 0.0000
0.5000 0.5000 0.5000
```


Most stable structure: 2


## 1
Li2LaSiH: relaxed, GGA-PBE.

Crystal system: tetragonal

```
Li2LaSiH
1.0
-3.0245 1.0165 -2.9187
2.1257 -2.2803 -2.9969
-2.5503 -4.0136 1.2449
Si Li La H
1 2 1 1
Direct
0.5000 0.5000 0.5000
0.5000 0.0000 0.0000
0.0000 0.5000 0.0000
0.0000 0.0000 0.5000
0.0000 0.0000 0.0000
```


## 2
Li2LaSiH: relaxed, GGA-PBE.

Crystal system: orthorhombic

```
Li2LaSiH
1.0
4.3557 0.0000 0.0000
-2.1779 5.4857 0.0000
0.0000 0.0000 6.8566
Li H Si La
4 2 2 2
Direct
0.8405 0.6810 0.4373
0.1595 0.3190 0.5627
0.1595 0.3190 0.9373
0.8405 0.6810 0.0627
0.0000 0.0000 0.0000
0.0000 0.0000 0.5000
0.2936 0.5872 0.2500
0.7064 0.4128 0.7500
0.4245 0.8489 0.7500
0.5755 0.1511 0.2500
```


Most stable structure: 2